This record from Alexandria describes an optimized crystal structure of PrTmAl2Zn2. The functional is PBE-GGA.

Properties
- Mass density: 6.34 g/cm³
- DOS at the Fermi energy: 3.56 states/eV per cell
- V: 21.589 A^3/atom
- Formation energy from the elements: -448 meV per atom
- Raw total energy: -3.662 eV per atom
- Space group: P-3m1
- Total magnetic moment: 0.000 μB per atom

abc: 4.506 4.506 7.366
angles: 90.00 90.00 120.00
Positions (direct):
Pr (0.000, 0.000, 0.000)
Tm (0.000, 0.000, 0.500)
Al (0.333, 0.667, 0.725)
Al (0.667, 0.333, 0.275)
Zn (0.333, 0.667, 0.285)
Zn (0.667, 0.333, 0.715)